DFT (PBE-GGA) results for Tc2ClO after structural relaxation.

```
Tc2ClO
1.0
4.0581 0.0000 0.0000
0.0000 4.0581 0.0000
2.0290 2.0290 7.1073
Tc O Cl
4 2 2
Direct
0.5374 0.1250 0.2500
0.2126 0.6250 0.2500
0.3750 0.4626 0.7500
0.8750 0.7874 0.7500
0.5000 0.5000 0.0000
0.2500 0.7500 0.5000
0.0000 0.0000 0.0000
0.7500 0.2500 0.5000
```

Values from the calculation:
The volume is 117 Å³/cell. For the total moment, the calculation gives 0.000 μB per atom. Its distance to the lowest polymorph of the same formula is 0.00 eV/f.u. The calculated total energy comes out at -6.8685 eV/atom. For the density, the calculation gives 7.02 g/cm3. As for the space group: No. 122.

DFT (PBE-GGA) results for Tc2ClO7 after structural relaxation.

```
Tc2ClO7
1.0
-2.1506 -2.6266 -1.6580
3.7365 -6.6145 5.6321
-7.2729 6.0430 -0.1395
Tc Cl O
2 1 7
Direct
0.5000 0.6080 0.3920
0.5000 0.3920 0.6080
0.0000 0.0000 0.0000
0.0000 0.5942 0.4058
0.0000 0.4058 0.5942
0.5000 0.1241 0.4513
0.5000 0.8759 0.5487
0.5000 0.4513 0.1241
0.5000 0.5487 0.8759
0.5000 0.5000 0.5000
```

Values from the calculation:
The volume is 220 Å³/cell. For the total moment, the calculation gives 0.084 μB per atom. The calculated total energy comes out at -6.6139 eV/atom. For the density, the calculation gives 2.60 g/cm3. As for the space group: No. 65.

DFT (PBE-GGA) results for TcClO2 after structural relaxation.

```
TcClO2
1.0
0.0000 2.7571 2.7571
2.7571 0.0000 2.7571
2.7571 2.7571 0.0000
Tc O Cl
1 2 1
Direct
0.5000 0.5000 0.5000
0.2500 0.2500 0.2500
0.7500 0.7500 0.7500
0.0000 0.0000 0.0000
```

Values from the calculation:
The volume is 42 Å³/cell. For the total moment, the calculation gives 0.000 μB per atom. Its distance to the lowest polymorph of the same formula is 5.93 eV/f.u. The calculated total energy comes out at -5.0076 eV/atom. For the density, the calculation gives 6.55 g/cm3. As for the space group: No. 225.

DFT (PBE-GGA) results for Tc3ClO after structural relaxation.

```
Tc3ClO
1.0
4.1618 0.0000 0.0000
0.0000 4.1618 0.0000
0.0000 0.0000 4.1618
Tc O Cl
3 1 1
Direct
0.0000 0.5000 0.0000
0.0000 0.0000 0.5000
0.5000 0.0000 0.0000
0.0000 0.0000 0.0000
0.5000 0.5000 0.5000
```

Values from the calculation:
The volume is 72 Å³/cell. For the total moment, the calculation gives 0.680 μB per atom. Its distance to the lowest polymorph of the same formula is 0.00 eV/f.u. The calculated total energy comes out at -6.7703 eV/atom. For the density, the calculation gives 7.96 g/cm3. As for the space group: No. 221.

DFT (PBE-GGA) results for Tc2Cl8O after structural relaxation.

```
Tc2Cl8O
1.0
-5.1494 0.4966 -3.8372
-0.5337 -4.5229 -8.1793
-6.8531 -6.3778 0.0608
Tc Cl O
2 8 1
Direct
0.6685 0.1418 0.1418
0.3315 0.8582 0.8582
0.4354 0.0770 0.7100
0.5646 0.2900 0.9230
0.8636 0.2196 0.2196
0.1364 0.7804 0.7804
0.4354 0.7100 0.0770
0.5646 0.9230 0.2900
0.2472 0.3204 0.3204
0.7528 0.6796 0.6796
0.0000 0.0000 0.0000
```

Values from the calculation:
The volume is 404 Å³/cell. For the total moment, the calculation gives 0.000 μB per atom. The calculated total energy comes out at -4.3477 eV/atom. For the density, the calculation gives 2.04 g/cm3. As for the space group: No. 12.

DFT (PBE-GGA) results for TcClO2 after structural relaxation.

```
TcClO2
1.0
-2.0910 -3.1604 -4.5951
-3.3735 -3.1911 3.7299
-5.8752 -0.4072 -0.9066
Tc O Cl
2 4 2
Direct
0.0000 0.0000 0.0000
0.7500 0.2500 0.5000
0.8745 0.1250 0.2500
0.8755 0.6250 0.2500
0.3750 0.1255 0.7500
0.8750 0.1245 0.7500
0.5000 0.5000 0.0000
0.2500 0.7500 0.5000
```

Values from the calculation:
The volume is 150 Å³/cell. For the total moment, the calculation gives 0.044 μB per atom. Its distance to the lowest polymorph of the same formula is 0.79 eV/f.u. The calculated total energy comes out at -6.2937 eV/atom. For the density, the calculation gives 3.67 g/cm3. As for the space group: No. 227.